1.
Pr2NdMg3InGa2 after structural relaxation. Source: OQMD, functional PBE-GGA.

final energy: -3.550 eV per atom
calculated density: 5.44 Mg/m³
space-group type: Amm2, No. 38

a b c (Å): 4.6542 7.5498 7.5498
angles (deg): 119.94 90.00 90.00
With the nearest neighbours (Å) after each atom.
Positions (direct):
Pr 0.0000 0.2172 0.7828  4 Ga 3.23, 1 In 3.28, 2 Mg 3.34
Pr 0.0000 0.7828 0.2172  4 Ga 3.23, 1 In 3.28, 2 Mg 3.34
Nd 0.0000 0.3487 0.3487  4 Ga 3.22, 1 In 3.28, 2 Mg 3.34
Mg 0.5000 0.0310 0.0310  2 Ga 2.89, 2 In 2.99
Mg 0.5000 0.5348 0.7826  2 Ga 2.89-2.90, 2 In 2.99, 1 Mg 3.24
Mg 0.5000 0.7826 0.5348  2 Ga 2.89-2.90, 2 In 2.99, 1 Mg 3.24
In 0.0000 0.7823 0.7823  6 Mg 2.99, 1 Nd 3.28, 2 Pr 3.28
Ga 0.5000 0.1165 0.4492  3 Mg 2.89-2.90, 2 Nd 3.22, 4 Pr 3.23
Ga 0.5000 0.4492 0.1165  3 Mg 2.89-2.90, 2 Nd 3.22, 4 Pr 3.23



2.
Li8Os4O11 after structural relaxation. Source: OQMD, functional PBE-GGA.

final energy: -6.383 eV per atom
calculated density: 7.78 Mg/m³
relative energy among the computed polymorphs: 0.000 eV/atom
space-group type: P1, No. 1

a b c (Å): 4.9308 5.1481 8.8513
angles (deg): 73.28 87.68 79.90
With the nearest neighbours (Å) after each atom.
Positions (direct):
Li 0.0000 0.0000 0.0000  4 O 1.97-2.13
Li 0.0051 0.3265 0.6733  6 O 1.99-2.21
Li 0.2568 0.4295 0.0934  5 O 1.98-2.12
Li 0.4960 0.4836 0.5097  5 O 1.98-2.15
Li 0.5014 0.1612 0.8392  6 O 2.08-2.20
Li 0.5146 0.8110 0.1777  4 O 1.97-2.16
Li 0.7488 0.9253 0.5911  6 O 2.00-2.17
Li 0.9951 0.6484 0.3585  5 O 2.03-2.25
Os 0.2153 0.0898 0.4022  5 O 2.01-2.23
Os 0.2803 0.7388 0.7677  6 O 2.01-2.09
Os 0.7288 0.5847 0.9175  6 O 2.02-2.08
Os 0.8011 0.2214 0.2642  5 O 2.01-2.24
O 0.1157 0.3895 0.8885  2 Os 2.04-2.09, 4 Li 2.05-2.15
O 0.1427 0.7227 0.5574  2 Os 2.04-2.07, 4 Li 2.05-2.21
O 0.3702 0.1008 0.6337  4 Li 2.00-2.15, 2 Os 2.01-2.23
O 0.3709 0.8000 0.9754  4 Li 1.97-2.10, 2 Os 2.03-2.04
O 0.3771 0.4310 0.3039  4 Li 1.98-2.16, 1 Os 2.01
O 0.5990 0.9030 0.3711  3 Li 1.98-2.17, 2 Os 2.01-2.04
O 0.6346 0.5285 0.7109  4 Li 2.00-2.17, 2 Os 2.01-2.02
O 0.6479 0.2091 0.0594  4 Li 2.01-2.22, 2 Os 2.01-2.08
O 0.8657 0.2909 0.4740  4 Li 1.98-2.04, 2 Os 2.03-2.04
O 0.8694 0.5986 0.1287  2 Li 2.00-2.01, 2 Os 2.04
O 0.8935 0.9298 0.8004  4 Li 2.01-2.18, 2 Os 2.04-2.07



3.
NaErPa after structural relaxation. Source: OQMD, functional PBE-GGA.

final energy: -3.684 eV per atom
calculated density: 7.17 Mg/m³
relative energy among the computed polymorphs: 0.000 eV/atom
space-group type: F-43m, No. 216

a b c (Å): 7.3093 7.3093 7.3093
angles (deg): 90.00 90.00 90.00
With the nearest neighbours (Å) after each atom.
Positions (direct):
Na 0.0000 0.0000 0.0000  4 Pa 3.17, 4 Er 3.17
Na 0.0000 0.5000 0.5000  4 Pa 3.17, 4 Er 3.17
Na 0.5000 0.0000 0.5000  4 Pa 3.17, 4 Er 3.17
Na 0.5000 0.5000 0.0000  4 Pa 3.17, 4 Er 3.17
Er 0.2500 0.2500 0.7500  4 Na 3.17
Er 0.2500 0.7500 0.2500  4 Na 3.17
Er 0.7500 0.2500 0.2500  4 Na 3.17
Er 0.7500 0.7500 0.7500  4 Na 3.17
Pa 0.2500 0.2500 0.2500  4 Na 3.17
Pa 0.2500 0.7500 0.7500  4 Na 3.17
Pa 0.7500 0.2500 0.7500  4 Na 3.17
Pa 0.7500 0.7500 0.2500  4 Na 3.17